A relaxed TeAs2 crystal. Source: Alexandria via LeMat-Bulk, functional PBEsol.

The space group is P6/mmm (No. 191) and the conventional cell measures 4.6345, 4.6345 and 3.5211 Å, with angles of 90.00, 90.00 and 120.00 degrees. The asymmetric unit holds Te at (0.0000, 0.0000, 0.0000) and As at (0.3333, 0.6667, 0.5000).

For the formation energy without anion corrections, the calculation gives 101.8 kJ/mol of formula units.